Record 1
The following is a PBE-GGA calculation of a relaxed Ho6Zn2Hg crystal, from the Alexandria database.

Cell lengths 8.5239, 8.5239, 8.5239 Å; angles 110.84, 109.55, 108.03 degrees
Last column: nearest neighbours and their distance in Å.
Fractional positions:
Ho (0.0354, 0.8206, 0.2149)  3 Zn 2.88-3.07
Ho (0.2445, 0.5416, 0.2971)  2 Zn 2.90-3.15, 2 Hg 3.14-3.23
Ho (0.2445, 0.9474, 0.7029)  2 Zn 2.90-3.15, 2 Hg 3.14-3.23
Ho (0.2707, 0.3193, 0.5900)  3 Zn 3.12-3.20, 1 Hg 3.18
Ho (0.2707, 0.6807, 0.9514)  3 Zn 3.12-3.20, 1 Hg 3.18
Ho (0.3943, 0.1794, 0.2149)  3 Zn 2.88-3.07
Ho (0.6057, 0.8206, 0.7851)  3 Zn 2.88-3.07
Ho (0.7293, 0.3193, 0.0486)  3 Zn 3.12-3.20, 1 Hg 3.18
Ho (0.7293, 0.6807, 0.4100)  3 Zn 3.12-3.20, 1 Hg 3.18
Ho (0.7555, 0.0526, 0.2971)  2 Zn 2.90-3.15, 2 Hg 3.14-3.23
Ho (0.7555, 0.4584, 0.7029)  2 Zn 2.90-3.15, 2 Hg 3.14-3.23
Ho (0.9646, 0.1794, 0.7851)  3 Zn 2.88-3.07
Zn (0.0000, 0.1361, 0.1361)  1 Zn 2.63, 2 Ho 2.90
Zn (0.0000, 0.8639, 0.8639)  1 Zn 2.63, 2 Ho 2.90
Zn (0.3743, 0.3743, 0.0000)  1 Zn 2.52
Zn (0.6257, 0.6257, 0.0000)  1 Zn 2.52
Hg (0.0000, 0.5000, 0.5000)  8 Ho 3.14-3.18
Hg (0.5000, 0.0000, 0.5000)  8 Ho 3.23-3.33

Summary:
ΔH_f (0 K) ... -0.238 eV/atom
Distance to the lowest polymorph of the same formula ... 0.000 eV/atom

Record 2
The following is a PBE-GGA calculation of a relaxed Ho4ZnHg3 crystal, from the Alexandria database.

Cell lengths 3.6507, 3.6507, 14.7976 Å; angles 90.00, 90.00, 90.00 degrees
Last column: nearest neighbours and their distance in Å.
Fractional positions:
Ho (0.0000, 0.0000, 0.1149)  4 Zn 3.09, 4 Hg 3.20, 1 Ho 3.40
Ho (0.0000, 0.0000, 0.3723)  8 Hg 3.20-3.21
Ho (0.0000, 0.0000, 0.6277)  8 Hg 3.20-3.21
Ho (0.0000, 0.0000, 0.8851)  4 Zn 3.09, 4 Hg 3.20, 1 Ho 3.40
Zn (0.5000, 0.5000, 0.0000)  8 Ho 3.09
Hg (0.5000, 0.5000, 0.2432)  8 Ho 3.20-3.21
Hg (0.5000, 0.5000, 0.5000)  8 Ho 3.20
Hg (0.5000, 0.5000, 0.7568)  8 Ho 3.20-3.21

Summary:
ΔH_f (0 K) ... -0.444 eV/atom
Distance to the lowest polymorph of the same formula ... 0.000 eV/atom

- What is the distance to the lowest polymorph of the same formula in the first record?
  0.000 eV/atom

- Among the records above, which one has the lowest ΔH_f (0 K)?
  Ho4ZnHg3

- The lowest ΔH_f (0 K) belongs to which entry?
  Ho4ZnHg3